5
Lattice="4.6943 0.0000 0.0000 0.0000 4.6943 0.0000 0.0000 0.0000 5.3044" Properties=species:S:1:pos:R:3 comment="LaTaCdB2, relaxed, DFT PBE" volume_a3_per_atom=23.4 delta_e_f_ev_per_atom=2.379 pbc="T T T"
La 0.0000 0.0000 0.0000
Ta 0.0000 0.0000 2.6522
Cd 2.3471 2.3471 2.6522
B 0.0000 2.3471 0.0000
B 2.3471 0.0000 0.0000

=====

4
Lattice="-2.0220 3.1876 6.5454 2.0220 -3.1876 6.5454 2.0220 3.1876 -6.5454" Properties=species:S:1:pos:R:3 comment="BaSr2Fe, relaxed, DFT PBE" polymorph_energy_mev_per_atom=46 volume_a3_per_atom=42.2 delta_e_f_ev_per_atom=0.472 pbc="T T T"
Ba 0.0000 0.0000 0.0000
Sr 2.0220 0.0000 4.0940
Sr 0.0000 3.1876 2.4515
Fe 0.0000 0.0000 6.5454

=====

4
Lattice="0.0000 3.2794 3.2794 3.2794 0.0000 3.2794 3.2794 3.2794 0.0000" Properties=species:S:1:pos:R:3 comment="YCl2F, relaxed, DFT PBE" e_form_raw_mev_per_atom=-2271.0 polymorph_energy_mev_per_atom=616 volume_a3_per_atom=17.6 pbc="T T T"
Y 0.0000 0.0000 0.0000
Cl 1.6397 1.6397 1.6397
Cl 4.9190 4.9190 4.9190
F 3.2794 3.2794 3.2794

=====

11
Lattice="6.1049 0.0000 0.0000 0.0000 11.2500 0.0000 0.0764 5.6131 10.1390" Properties=species:S:1:pos:R:3 comment="U2HgI8, relaxed, DFT PBE" e_form_raw_mev_per_atom=-582.9 volume_a3_per_atom=63.3 pbc="T T T"
U 1.4457 2.8094 1.6400
U 4.7356 14.0537 8.4989
Hg 3.0907 8.4315 5.0695
I 1.4386 5.1960 3.2530
I 1.4384 11.6606 3.2335
I 1.5198 8.4428 8.8749
I 1.6827 14.0554 8.5731
I 4.4987 2.8077 1.5659
I 4.6616 8.4203 1.2641
I 4.7430 5.2025 6.9055
I 4.7428 11.6671 6.8860

=====

4
Lattice="0.0000 3.5166 3.5166 3.5166 0.0000 3.5166 3.5166 3.5166 0.0000" Properties=species:S:1:pos:R:3 comment="CdPCl2, relaxed, DFT PBE" e_form_raw_mev_per_atom=399.7 polymorph_energy_mev_per_atom=795 volume_a3_per_atom=21.7 pbc="T T T"
Cd 0.0000 0.0000 0.0000
P 3.5166 3.5166 3.5166
Cl 1.7583 1.7583 1.7583
Cl 5.2749 5.2749 5.2749

=====

5
Lattice="5.0698 0.0000 0.0000 0.0000 5.0698 0.0000 0.0000 0.0000 3.8930" Properties=species:S:1:pos:R:3 comment="HfHgIr2O, relaxed, DFT PBE" e_form_raw_mev_per_atom=272.9 volume_a3_per_atom=20.0 pbc="T T T"
Hf 0.0000 0.0000 0.0000
Hg 2.5349 2.5349 1.9465
Ir 0.0000 2.5349 0.0000
Ir 2.5349 0.0000 0.0000
O 0.0000 0.0000 1.9465

=====

18
Lattice="6.9339 0.0000 0.0000 -3.4669 6.0049 0.0000 0.0000 0.0000 12.9423" Properties=species:S:1:pos:R:3 comment="SrCaIr, relaxed, DFT PBE" polymorph_energy_mev_per_atom=0 volume_a3_per_atom=29.9 delta_e_f_ev_per_atom=-0.143 pbc="T T T"
Sr 0.0000 0.0000 0.0000
Sr 0.0000 0.0000 4.3141
Sr 0.0000 0.0000 8.6282
Sr -1.7335 3.0025 2.1571
Sr 3.4669 0.0000 6.4711
Sr 1.7335 3.0025 10.7852
Ca -1.7335 3.0025 5.9361
Ca -1.7335 3.0025 11.3202
Ca 3.4669 0.0000 2.6920
Ca 3.4669 0.0000 10.2502
Ca 1.7335 3.0025 1.6221
Ca 1.7335 3.0025 7.0061
Ir -0.6375 3.6352 8.6282
Ir 0.6375 3.6352 4.3141
Ir 0.0000 4.7394 0.0000
Ir 3.4669 1.2655 0.0000
Ir 2.8294 2.3697 4.3141
Ir 4.1045 2.3697 8.6282

=====

14
Lattice="5.2189 -3.7512 0.0000 5.2189 3.7512 0.0000 -4.1564 0.0000 7.8447" Properties=species:S:1:pos:R:3 comment="CdRuBrO4, relaxed, DFT PBE" e_form_raw_mev_per_atom=-727.8 volume_a3_per_atom=21.9 pbc="T T T"
Cd 1.1271 0.0000 1.4856
Cd 5.1544 0.0000 6.3591
Ru 1.2029 0.0000 5.4504
Ru 5.0785 0.0000 2.3943
Br -2.5999 0.0000 6.7150
Br 8.8813 0.0000 1.1296
O 0.2497 1.4119 5.8516
O 1.5558 0.0000 3.7271
O 3.5623 0.0000 1.5177
O 6.0317 1.4119 1.9931
O 0.2497 -1.4119 5.8516
O 2.7192 0.0000 6.3270
O 4.7256 0.0000 4.1176
O 6.0317 -1.4119 1.9931